(1)
# K2AlPCO7, optimized geometry, DFT PBEsol
# Formation energy without anion corrections = -2566 kJ/mol of formula units
data_K2AlPCO7
_symmetry_space_group_name_H-M 'P 1 21/m 1'
_symmetry_Int_Tables_number 11
_cell_length_a 5.408
_cell_length_b 6.537
_cell_length_c 9.546
_cell_angle_alpha 90.00
_cell_angle_beta 91.05
_cell_angle_gamma 90.00
loop_
_symmetry_equiv_pos_as_xyz
'x,y,z'
'-x,-y,-z'
'-x,y+1/2,-z'
'x,-y+1/2,z'
loop_
_atom_site_label
_atom_site_fract_x
_atom_site_fract_y
_atom_site_fract_z
K1 0.248 0.028 0.260
Al1 0.228 0.250 0.859
P1 0.268 0.750 0.938
C1 0.265 0.250 0.611
O1 0.053 0.250 0.676
O2 0.080 0.750 0.059
O3 0.230 0.555 0.848
O4 0.290 0.250 0.482
O5 0.449 0.250 0.704
O6 0.461 0.250 0.003

=====

(2)
# La2MnAlC, optimized geometry, DFT PBEsol
# ΔH_f (0 K) = 0.85 eV/atom
data_La2MnAlC
_symmetry_space_group_name_H-M 'P 4/m m m'
_symmetry_Int_Tables_number 123
_symmetry_space_group_name_Hall '-P 4 2'
_cell_length_a 4.895
_cell_length_b 4.895
_cell_length_c 4.499
_cell_angle_alpha 90.00
_cell_angle_beta 90.00
_cell_angle_gamma 90.00
loop_
_atom_site_label
_atom_site_fract_x
_atom_site_fract_y
_atom_site_fract_z
La1 0.000 0.500 0.000
Mn1 0.000 0.000 0.000
Al1 0.000 0.000 0.500
C1 0.500 0.500 0.500

=====

Values of density of states at the Fermi level, in order: 0.000 0.851, all in states/eV per atom.
Values of magnetic moment, in order: 0.00 1.04, all in μB per cell.